1.
Compound: YHg4Mo
Source: Alexandria
Functional: PBE
Structure: relaxed

Cell lengths 5.7737, 5.7737, 5.7737 Å; angles 60.00, 60.00, 60.00 degrees
With the nearest neighbours (Å) after each atom.
Fractional coordinates of all 6 atoms:
Y (0.0000, 0.0000, 0.0000)  12 Hg 3.39, 4 Mo 3.54
Hg (0.8739, 0.3754, 0.3754)  6 Hg 2.88-2.90
Hg (0.3754, 0.3754, 0.8739)  6 Hg 2.88-2.90
Hg (0.3754, 0.8739, 0.3754)  6 Hg 2.88-2.90
Hg (0.3754, 0.3754, 0.3754)  6 Hg 2.88-2.90
Mo (0.7500, 0.7500, 0.7500)  12 Hg 3.38, 4 Y 3.54

Summary:
formation energy: 2.03 eV/f.u.
SG: F-43m, No. 216



2.
Compound: YHg2Mo
Source: Alexandria
Functional: PBE
Structure: relaxed

Cell lengths 3.7218, 3.7218, 6.3851 Å; angles 90.00, 90.00, 90.00 degrees
With the nearest neighbours (Å) after each atom.
Fractional coordinates of all 4 atoms:
Hg (0.0000, 0.0000, 0.0118)  1 Mo 2.99, 4 Hg 3.10, 4 Y 3.15
Hg (0.5000, 0.5000, 0.2688)  4 Mo 2.96, 1 Y 3.01, 4 Hg 3.10
Mo (0.0000, 0.0000, 0.4794)  5 Hg 2.96-2.99, 4 Y 3.11
Y (0.5000, 0.5000, 0.7399)  5 Hg 3.01-3.15, 4 Mo 3.11

Summary:
formation energy: 1.06 eV/f.u.
polymorph energy (0 for the lowest one): 2.02 kcal/mol of atoms
SG: P4mm, No. 99



3.
Compound: YHgMo
Source: Alexandria
Functional: PBE
Structure: relaxed

Cell lengths 5.7744, 5.7744, 5.7744 Å; angles 147.51, 140.59, 51.96 degrees
With the nearest neighbours (Å) after each atom.
Fractional coordinates of all 3 atoms:
Hg (0.9831, 0.9831, 0.0000)  4 Mo 2.91, 5 Y 3.21-3.22, 2 Hg 3.23
Mo (0.3439, 0.3439, 0.0000)  4 Hg 2.91, 4 Y 3.09, 2 Mo 3.23
Y (0.6730, 0.6730, 0.0000)  5 Mo 3.09-3.42, 5 Hg 3.21-3.22, 2 Y 3.23

Summary:
formation energy: 0.95 eV/f.u.
polymorph energy (0 for the lowest one): 6.16 kcal/mol of atoms
SG: Imm2, No. 44



4.
Compound: YHgMo2
Source: Alexandria
Functional: PBE
Structure: relaxed

Cell lengths 5.5643, 5.5643, 5.5643 Å; angles 136.79, 136.79, 62.76 degrees
With the nearest neighbours (Å) after each atom.
Fractional coordinates of all 4 atoms:
Hg (0.7500, 0.2500, 0.5000)  4 Y 2.90, 8 Mo 3.14
Mo (0.0000, 0.0000, 0.0000)  4 Mo 2.90, 4 Hg 3.14, 4 Y 3.14
Mo (0.5000, 0.5000, 0.0000)  4 Mo 2.90, 4 Y 3.14, 4 Hg 3.14
Y (0.2500, 0.7500, 0.5000)  4 Hg 2.90, 8 Mo 3.14

Summary:
formation energy: 2.04 eV/f.u.
SG: I4/mmm, No. 139



5.
Compound: YHg2Mo
Source: Alexandria
Functional: PBE
Structure: relaxed

Cell lengths 4.9740, 4.9740, 4.9740 Å; angles 60.00, 60.00, 60.00 degrees
With the nearest neighbours (Å) after each atom.
Fractional coordinates of all 4 atoms:
Y (0.0000, 0.0000, 0.0000)  8 Hg 3.05
Mo (0.5000, 0.5000, 0.5000)  8 Hg 3.05
Hg (0.2500, 0.2500, 0.2500)  4 Mo 3.05, 4 Y 3.05
Hg (0.7500, 0.7500, 0.7500)  4 Mo 3.05, 4 Y 3.05

Summary:
formation energy: 1.01 eV/f.u.
polymorph energy (0 for the lowest one): 1.71 kcal/mol of atoms
SG: Fm-3m, No. 225



6.
Compound: YHgMo2
Source: Alexandria
Functional: PBE
Structure: relaxed

Cell lengths 7.9789, 7.9789, 6.2716 Å; angles 50.50, 50.50, 90.00 degrees
With the nearest neighbours (Å) after each atom.
Fractional coordinates of all 8 atoms:
Y (0.5000, 0.5000, 0.0000)  2 Hg 2.74, 4 Mo 3.07
Y (0.2500, 0.7500, 0.5000)  2 Hg 2.74, 4 Mo 3.07
Mo (0.6541, 0.1250, 0.2500)  2 Hg 2.75, 2 Mo 2.78, 2 Y 3.07
Mo (0.0959, 0.6250, 0.2500)  2 Hg 2.75, 2 Mo 2.78, 2 Y 3.07
Mo (0.3750, 0.3459, 0.7500)  2 Hg 2.75, 2 Mo 2.78, 2 Y 3.07
Mo (0.8750, 0.9041, 0.7500)  2 Hg 2.75, 2 Mo 2.78, 2 Y 3.07
Hg (0.0000, 0.0000, 0.0000)  2 Y 2.74, 4 Mo 2.75
Hg (0.7500, 0.2500, 0.5000)  2 Y 2.74, 4 Mo 2.75

Summary:
formation energy: 3.85 eV/f.u.
SG: I-42d, No. 122



7.
Compound: YHgMo3
Source: Alexandria
Functional: PBE
Structure: relaxed

Cell lengths 4.9923, 4.9923, 4.9923 Å; angles 90.00, 90.00, 90.00 degrees
With the nearest neighbours (Å) after each atom.
Fractional coordinates of all 5 atoms:
Y (0.5000, 0.5000, 0.5000)  12 Mo 3.53
Mo (0.0000, 0.5000, 0.0000)  2 Hg 2.50
Mo (0.0000, 0.0000, 0.5000)  2 Hg 2.50
Mo (0.5000, 0.0000, 0.0000)  2 Hg 2.50
Hg (0.0000, 0.0000, 0.0000)  6 Mo 2.50

Summary:
formation energy: 10.22 eV/f.u.
polymorph energy (0 for the lowest one): 0.00 kcal/mol of atoms
SG: Pm-3m, No. 221



8.
Compound: YHgMo
Source: Alexandria
Functional: PBE
Structure: relaxed

Cell lengths 8.3688, 3.4841, 11.8464 Å; angles 90.00, 127.07, 90.00 degrees
With the nearest neighbours (Å) after each atom.
Fractional coordinates of all 12 atoms:
Y (0.1902, 0.0000, 0.9114)  5 Mo 3.11-3.29, 4 Hg 3.22-3.30
Y (0.8098, 0.0000, 0.0886)  5 Mo 3.11-3.29, 4 Hg 3.22-3.30
Y (0.1902, 0.5000, 0.4114)  5 Mo 3.11-3.29, 4 Hg 3.22-3.30
Y (0.8098, 0.5000, 0.5886)  5 Mo 3.11-3.29, 4 Hg 3.22-3.30
Mo (0.8637, 0.0000, 0.3875)  1 Mo 2.23
Mo (0.1363, 0.0000, 0.6125)  1 Mo 2.23
Mo (0.8637, 0.5000, 0.8875)  1 Mo 2.23
Mo (0.1363, 0.5000, 0.1125)  1 Mo 2.23
Hg (0.5537, 0.0000, 0.6667)  3 Mo 2.90-3.15, 2 Hg 3.14, 2 Y 3.22
Hg (0.4463, 0.0000, 0.3333)  3 Mo 2.90-3.15, 2 Hg 3.14, 2 Y 3.22
Hg (0.5537, 0.5000, 0.1667)  3 Mo 2.90-3.15, 2 Hg 3.14, 2 Y 3.22
Hg (0.4463, 0.5000, 0.8333)  3 Mo 2.90-3.15, 2 Hg 3.14, 2 Y 3.22

Summary:
formation energy: 0.27 eV/f.u.
polymorph energy (0 for the lowest one): 0.94 kcal/mol of atoms
SG: C2/m, No. 12



9.
Compound: YHgMo2
Source: Alexandria
Functional: PBE
Structure: relaxed

Cell lengths 5.6043, 5.6043, 4.9757 Å; angles 69.98, 69.98, 36.15 degrees
With the nearest neighbours (Å) after each atom.
Fractional coordinates of all 4 atoms:
Hg (0.2500, 0.2500, 0.2500)  6 Mo 2.96-3.16, 4 Y 3.04
Mo (0.9908, 0.9908, 0.0829)  2 Mo 2.46
Mo (0.5092, 0.5092, 0.4171)  2 Mo 2.46
Y (0.7500, 0.7500, 0.7500)  4 Hg 3.04, 6 Mo 3.18-3.39

Summary:
formation energy: 1.60 eV/f.u.
SG: C2/m, No. 12



10.
Compound: YHgMo
Source: Alexandria
Functional: PBE
Structure: relaxed

Cell lengths 4.8690, 4.8690, 4.8690 Å; angles 60.00, 60.00, 60.00 degrees
With the nearest neighbours (Å) after each atom.
Fractional coordinates of all 3 atoms:
Hg (0.0000, 0.0000, 0.0000)  4 Y 2.98
Mo (0.5000, 0.5000, 0.5000)  4 Y 2.98
Y (0.7500, 0.7500, 0.7500)  4 Hg 2.98, 4 Mo 2.98

Summary:
formation energy: 3.12 eV/f.u.
polymorph energy (0 for the lowest one): 22.87 kcal/mol of atoms
SG: F-43m, No. 216



11.
Compound: YHg2Mo
Source: Alexandria
Functional: PBE
Structure: relaxed

Cell lengths 5.3724, 5.3724, 5.3724 Å; angles 131.46, 131.40, 71.13 degrees
With the nearest neighbours (Å) after each atom.
Fractional coordinates of all 4 atoms:
Hg (0.9999, 0.9999, 0.0000)  4 Mo 3.11, 4 Y 3.11, 4 Hg 3.12
Hg (0.5001, 0.5001, 0.0000)  4 Mo 3.11, 4 Y 3.11, 4 Hg 3.12
Mo (0.7500, 0.2500, 0.5000)  8 Hg 3.11, 4 Y 3.12
Y (0.2500, 0.7500, 0.5000)  8 Hg 3.11, 4 Mo 3.12

Summary:
formation energy: 0.71 eV/f.u.
polymorph energy (0 for the lowest one): 0.00 kcal/mol of atoms
SG: I4/mmm, No. 139



12.
Compound: Y2HgMo
Source: Alexandria
Functional: PBE
Structure: relaxed

Cell lengths 3.3820, 5.9184, 6.2384 Å; angles 50.23, 90.00, 90.00 degrees
With the nearest neighbours (Å) after each atom.
Fractional coordinates of all 4 atoms:
Hg (0.5000, 0.5000, 0.5000)  6 Y 3.09-3.12, 2 Hg 3.38, 4 Mo 3.41
Mo (0.0000, 0.0000, 0.5000)  6 Y 3.09-3.12, 2 Mo 3.38, 4 Hg 3.41
Y (0.0000, 0.0000, 0.0000)  4 Hg 3.09, 2 Mo 3.12, 6 Y 3.38-3.41
Y (0.5000, 0.5000, 0.0000)  4 Mo 3.09, 2 Hg 3.12, 6 Y 3.38-3.41

Summary:
formation energy: 1.38 eV/f.u.
SG: P2/m, No. 10



13.
Compound: YHg2Mo
Source: Alexandria
Functional: PBE
Structure: relaxed

Cell lengths 5.3596, 5.3596, 5.5027 Å; angles 79.55, 79.55, 34.37 degrees
With the nearest neighbours (Å) after each atom.
Fractional coordinates of all 4 atoms:
Hg (0.0085, 0.0085, 0.9769)  4 Hg 2.99-3.17, 3 Mo 3.00-3.13, 3 Y 3.13-3.20
Hg (0.4915, 0.4915, 0.5231)  4 Hg 2.99-3.17, 3 Mo 3.00-3.13, 3 Y 3.13-3.20
Mo (0.7500, 0.7500, 0.7500)  6 Hg 3.00-3.13, 2 Mo 3.17, 4 Y 3.17
Y (0.2500, 0.2500, 0.2500)  6 Hg 3.13-3.20, 2 Y 3.17, 4 Mo 3.17

Summary:
formation energy: 1.13 eV/f.u.
polymorph energy (0 for the lowest one): 2.46 kcal/mol of atoms
SG: C2/m, No. 12



14.
Compound: Y2HgMo
Source: Alexandria
Functional: PBE
Structure: relaxed

Cell lengths 5.8365, 5.8365, 5.8365 Å; angles 140.25, 131.75, 64.23 degrees
With the nearest neighbours (Å) after each atom.
Fractional coordinates of all 4 atoms:
Hg (0.5173, 0.5173, 0.0000)  2 Mo 2.96, 6 Y 3.12-3.25
Mo (0.7388, 0.2388, 0.5000)  2 Hg 2.96, 6 Y 3.11-3.15
Y (0.9868, 0.9868, 0.0000)  4 Hg 3.12, 4 Mo 3.15-3.45, 4 Y 3.29-3.33
Y (0.2571, 0.7571, 0.5000)  4 Mo 3.11, 4 Hg 3.25-3.36, 4 Y 3.29-3.33

Summary:
formation energy: 0.64 eV/f.u.
SG: Imm2, No. 44



15.
Compound: YHgMo2
Source: Alexandria
Functional: PBE
Structure: relaxed

Cell lengths 2.8685, 4.5683, 6.1672 Å; angles 90.00, 90.00, 90.00 degrees
With the nearest neighbours (Å) after each atom.
Fractional coordinates of all 4 atoms:
Hg (0.5000, 0.5000, 0.7500)  2 Hg 2.87, 8 Mo 2.99, 2 Y 3.08
Mo (0.0000, 0.0000, 0.9603)  3 Mo 2.59-2.87
Mo (0.0000, 0.0000, 0.5397)  3 Mo 2.59-2.87
Y (0.5000, 0.5000, 0.2500)  2 Y 2.87, 2 Hg 3.08

Summary:
formation energy: 2.57 eV/f.u.
SG: Pmmm, No. 47